Record 1
First-principles (GGA-PBE) data for an optimized crystal structure of TmTeRhO6, as listed in Alexandria via LeMat-Bulk.

Summary:
Formation energy (no corrections): -1.47 eV per atom
Size of the total moment: 0.000 μB/atom
Space group: P-31c (163)

Lattice parameters (Å, degrees): 5.4215 5.4215 8.5455 90.00 90.00 120.00
Fractional coordinates of all 18 atoms:
Rh 0.0000 0.0000 0.0000
Te 0.3333 0.6667 0.7500
Tm 0.6667 0.3333 0.7500
Tm 0.3333 0.6667 0.2500
Rh 0.0000 0.0000 0.5000
O 0.0336 0.3546 0.6236
O 0.3546 0.0336 0.1236
O 0.9664 0.3210 0.1236
Te 0.6667 0.3333 0.2500
O 0.9664 0.6454 0.3764
O 0.0336 0.6790 0.8764
O 0.3546 0.3210 0.3764
O 0.3210 0.3546 0.8764
O 0.3210 0.9664 0.6236
O 0.6454 0.9664 0.8764
O 0.6790 0.0336 0.3764
O 0.6454 0.6790 0.6236
O 0.6790 0.6454 0.1236

Record 2
First-principles (GGA-PBE) data for an optimized crystal structure of Zr2Ru, as listed in Alexandria via LeMat-Bulk.

Summary:
Size of the total moment: 0.000 μB/atom
Space group: P-62m (189)
DFT formation energy: -0.84 eV/f.u.

Lattice parameters (Å, degrees): 6.9254 6.9254 4.4079 90.00 90.00 120.00
Fractional coordinates of all 9 atoms:
Zr 0.4172 0.4172 0.5000
Ru 0.6667 0.3333 0.0000
Zr 0.0000 0.5828 0.5000
Zr 0.7426 0.7426 0.0000
Zr 0.5828 0.0000 0.5000
Zr 0.0000 0.2574 0.0000
Ru 0.0000 0.0000 0.5000
Ru 0.3333 0.6667 0.0000
Zr 0.2574 0.0000 0.0000

Record 3
First-principles (GGA-PBE) data for an optimized crystal structure of BaPaGe2, as listed in Alexandria via LeMat-Bulk.

Summary:
Size of the total moment: 0.003 μB/atom
ΔE to the lowest computed polymorph: 3 meV/atom
Space group: P4/mmm (123)
DFT formation energy: -1.22 eV/f.u.

Lattice parameters (Å, degrees): 3.4713 3.4713 8.6210 90.00 90.00 90.00
Fractional coordinates of all 4 atoms:
Pa 0.5000 0.5000 0.0000
Ge 0.0000 0.0000 0.7803
Ge 0.0000 0.0000 0.2197
Ba 0.5000 0.5000 0.5000

Q: What is the size of the total moment in the third record?
A: 0.003 μB/atom

Q: Look up the size of the total moment of the first one.
A: 0.000 μB/atom

Q: What is the size of the total moment in the first record?
A: 0.000 μB/atom